{
  "formula": "KReTe2",
  "functional": "PBEsol",
  "state": "relaxed",
  "polymorph_energy_mev_per_atom": 413,
  "spacegroup": "No. 166",
  "raw_formation_energy_ev_per_atom": 0.7011,
  "mass_density_g_cm3": 8.3,
  "cell": [[-0.7042, -0.9234, -3.0086], [0.1151, -3.1228, -0.7969], [-10.4799, -2.4265, 1.4693]],
  "species": ["K", "Re", "Te", "Te"],
  "fractional_positions": [[0.5000, 0.5000, 0.5000], [0.0000, 0.0000, 0.0000], [0.0795, 0.0795, 0.7616], [0.9205, 0.9205, 0.2384]]
}